DFT (PBE) results for MgCo4Cu after structural relaxation.

The space group is F-43m (No. 216) and the conventional cell measures 6.7230, 6.7230 and 6.7230 Å, with angles of 90.00, 90.00 and 90.00 degrees. The asymmetric unit holds Mg at (0.0000, 0.0000, 0.0000), Co at (0.1247, 0.1247, 0.3753) and Cu at (0.2500, 0.2500, 0.7500).

Its size of the total moment is 1.06 μB/atom. The calculated total energy is -5.56 eV/atom.


DFT (PBE) results for MgCoCu3 after structural relaxation.

The space group is Pm-3m (No. 221) and the conventional cell measures 4.4115, 4.4115 and 4.4115 Å, with angles of 90.00, 90.00 and 90.00 degrees. The asymmetric unit holds Mg at (0.0000, 0.0000, 0.0000), Co at (0.5000, 0.5000, 0.5000) and Cu at (0.0000, 0.5000, 0.5000).

Its size of the total moment is 0.30 μB/atom. The energy above the lowest structure with this stoichiometry is 0 meV/atom.


- Look up the size of the total moment of the second one.
  0.30 μB/atom


- The highest size of the total moment belongs to which entry?
  MgCo4Cu


- Among the records above, which one has the highest size of the total moment?
  MgCo4Cu